[1]
Computed, not measured: a relaxed structure of B2H6Rh at the PBE level of DFT.

Values from the calculation:
As for the crystal system: triclinic. The volume comes out at 85.34 Å³/cell. The mass density is 2541 kg/m3. For the offset from the most stable computed form, the calculation gives 0.82 kcal/mol of atoms. Its symmetry is P-1.

Unit cell a=2.8174 b=4.6329 c=6.7342 alpha=97.75 beta=98.08 gamma=96.99
Last column: nearest neighbours and their distance in Å.
Atoms (fractional coordinates):
B1 0.1863 0.1532 0.2498  3 H 1.19-1.30
B2 0.8137 0.8468 0.7502  3 H 1.19-1.30
H1 0.1629 0.2646 0.4172  1 B 1.19
H2 0.3246 0.8976 0.2392  1 B 1.29
H3 0.3857 0.3365 0.1452  1 B 1.30
H4 0.6143 0.6635 0.8548  1 B 1.30
H5 0.6754 0.1024 0.7608  1 B 1.29
H6 0.8371 0.7354 0.5828  1 B 1.19
Rh1 0.5000 0.0000 0.0000  4 H 1.81-1.85

[2]
Computed, not measured: a relaxed structure of YHoRh4 at the PBE level of DFT.

Values from the calculation:
As for the crystal system: cubic. The electronic total energy comes out at -7.48 eV per atom. The volume comes out at 107.42 Å³/cell. The mass density is 10287 kg/m3. Its symmetry is F-43m.

Unit cell a=5.3357 b=5.3357 c=5.3357 alpha=60.00 beta=60.00 gamma=60.00
Last column: nearest neighbours and their distance in Å.
Atoms (fractional coordinates):
Y1 0.0000 0.0000 0.0000  12 Rh 3.13, 4 Ho 3.27
Ho1 0.7500 0.7500 0.7500  12 Rh 3.13, 4 Y 3.27
Rh1 0.3750 0.3750 0.3750  6 Rh 2.67
Rh2 0.3750 0.3750 0.8749  6 Rh 2.67
Rh3 0.3750 0.8749 0.3750  6 Rh 2.67
Rh4 0.8749 0.3750 0.3750  6 Rh 2.67

[3]
Computed, not measured: a relaxed structure of LuIrPdPb at the PBE level of DFT.

Values from the calculation:
As for the crystal system: cubic. The electronic total energy comes out at -6.07 eV per atom. The volume comes out at 77.22 Å³/cell. The mass density is 14639 kg/m3. Its symmetry is F-43m.

Unit cell a=4.7800 b=4.7800 c=4.7800 alpha=60.00 beta=60.00 gamma=60.00
Last column: nearest neighbours and their distance in Å.
Atoms (fractional coordinates):
Lu1 0.0000 0.0000 0.0000  4 Pd 2.93, 4 Ir 2.93
Ir1 0.2500 0.2500 0.2500  4 Pb 2.93, 4 Lu 2.93
Pd1 0.7500 0.7500 0.7500  4 Pb 2.93, 4 Lu 2.93
Pb1 0.5000 0.5000 0.5000  4 Pd 2.93, 4 Ir 2.93

[4]
Computed, not measured: a relaxed structure of IrRhI2N at the PBE level of DFT.

Values from the calculation:
As for the crystal system: tetragonal. The value obtained for the uncorrected formation energy is 1.132 eV per atom. The volume comes out at 107.52 Å³/cell. The mass density is 8694 kg/m3. For the offset from the most stable computed form, the calculation gives 7.24 kcal/mol of atoms. Its symmetry is P4/mmm.

Unit cell a=5.4526 b=5.4526 c=3.6166 alpha=90.00 beta=90.00 gamma=90.00
Last column: nearest neighbours and their distance in Å.
Atoms (fractional coordinates):
Ir1 0.0000 0.0000 0.0000  8 I 3.27, 2 Ir 3.62
Rh1 0.5000 0.5000 0.5000  2 N 1.81
I1 0.0000 0.5000 0.5000  2 Rh 2.73
I2 0.5000 0.0000 0.5000  2 Rh 2.73
N1 0.5000 0.5000 0.0000  2 Rh 1.81

[5]
Computed, not measured: a relaxed structure of Th5UTc6 at the PBE level of DFT.

Values from the calculation:
As for the crystal system: triclinic. The electronic total energy comes out at -9.33 eV per atom. The volume comes out at 266.91 Å³/cell. The mass density is 12357 kg/m3. Its symmetry is P-1.

Unit cell a=4.3783 b=7.4474 c=8.5731 alpha=81.17 beta=75.24 gamma=89.89
Last column: nearest neighbours and their distance in Å.
Atoms (fractional coordinates):
Th1 0.0000 0.0000 0.0000  8 Tc 2.79-3.13
Th2 0.3255 0.4045 0.3489  6 Tc 2.90-3.23
Th3 0.3284 0.9064 0.3437  5 Tc 2.95-3.13
Th4 0.6716 0.0936 0.6563  5 Tc 2.95-3.13
Th5 0.6745 0.5955 0.6511  6 Tc 2.90-3.23
U1 0.0000 0.5000 0.0000  6 Tc 2.62-2.66
Tc1 0.1278 0.3364 0.7431  1 U 2.62
Tc2 0.1374 0.8258 0.7255  6 Th 2.79-3.13, 1 U 3.05
Tc3 0.4973 0.2991 0.0029  2 U 2.64-2.66
Tc4 0.5027 0.7009 0.9971  2 U 2.64-2.66
Tc5 0.8626 0.1742 0.2745  6 Th 2.79-3.13, 1 U 3.05
Tc6 0.8722 0.6636 0.2569  1 U 2.62

[6]
Computed, not measured: a relaxed structure of HfFe2Ru at the PBE level of DFT.

Values from the calculation:
As for the crystal system: cubic. The volume comes out at 57.30 Å³/cell. The mass density is 11338 kg/m3. For the offset from the most stable computed form, the calculation gives 0.00 kcal/mol of atoms. Its symmetry is Fm-3m.

Unit cell a=4.3274 b=4.3274 c=4.3274 alpha=60.00 beta=60.00 gamma=60.00
Last column: nearest neighbours and their distance in Å.
Atoms (fractional coordinates):
Hf1 0.0000 0.0000 0.0000  8 Fe 2.65
Fe1 0.2500 0.2500 0.2500  4 Ru 2.65, 4 Hf 2.65
Fe2 0.7500 0.7500 0.7500  4 Hf 2.65, 4 Ru 2.65
Ru1 0.5000 0.5000 0.5000  8 Fe 2.65

[7]
Computed, not measured: a relaxed structure of YSiBr at the PBE level of DFT.

Values from the calculation:
As for the crystal system: hexagonal. The value obtained for the uncorrected formation energy is -0.314 eV per atom. The volume comes out at 72.15 Å³/cell. The mass density is 4532 kg/m3. Its symmetry is P-6m2.

Unit cell a=4.8826 b=4.8826 c=3.4944 alpha=90.00 beta=90.00 gamma=120.00
Last column: nearest neighbours and their distance in Å.
Atoms (fractional coordinates):
Y1 0.0000 0.0000 0.0000  3 Br 2.82
Si1 0.6667 0.3333 0.5000  6 Y 3.32, 6 Br 3.32, 2 Si 3.49
Br1 0.3333 0.6667 0.0000  3 Y 2.82

[8]
Computed, not measured: a relaxed structure of Ta2TcOs at the PBE level of DFT.

Values from the calculation:
As for the crystal system: monoclinic. The electronic total energy comes out at -11.47 eV per atom. The volume comes out at 64.87 Å³/cell. The mass density is 16642 kg/m3. Its symmetry is P2/m.

Unit cell a=2.8178 b=4.3722 c=5.3196 alpha=90.00 beta=98.19 gamma=90.00
Last column: nearest neighbours and their distance in Å.
Atoms (fractional coordinates):
Ta1 0.2422 0.0000 0.2509  2 Tc 2.69, 2 Os 2.71, 4 Ta 2.82-2.84
Ta2 0.7578 0.0000 0.7491  2 Tc 2.69, 2 Os 2.71, 4 Ta 2.82-2.84
Tc1 0.0000 0.5000 0.5000  4 Ta 2.69, 2 Tc 2.82, 2 Os 2.83
Os1 0.5000 0.5000 0.0000  4 Ta 2.71, 2 Os 2.82, 2 Tc 2.83

[9]
Computed, not measured: a relaxed structure of BaAcS2 at the PBE level of DFT.

Values from the calculation:
As for the crystal system: trigonal. The value obtained for the uncorrected formation energy is -2.043 eV per atom. The volume comes out at 122.19 Å³/cell. The mass density is 5823 kg/m3. For the offset from the most stable computed form, the calculation gives 0.00 kcal/mol of atoms. Its symmetry is R-3m.

Unit cell a=7.7052 b=7.7052 c=7.7052 alpha=33.21 beta=33.21 gamma=33.21
Last column: nearest neighbours and their distance in Å.
Atoms (fractional coordinates):
Ba1 0.0000 0.0000 0.0000  6 S 3.21
Ac1 0.5000 0.5000 0.5000  6 S 3.05
S1 0.2438 0.2438 0.2438  3 Ac 3.05, 3 Ba 3.21
S2 0.7562 0.7562 0.7562  3 Ac 3.05, 3 Ba 3.21

[10]
Computed, not measured: a relaxed structure of Y2Rh at the PBE level of DFT.

Values from the calculation:
As for the crystal system: monoclinic. The electronic total energy comes out at -7.37 eV per atom. The volume comes out at 153.55 Å³/cell. The mass density is 6072 kg/m3. Its symmetry is Cm.

Unit cell a=6.3790 b=6.3790 c=6.7083 alpha=90.04 beta=90.04 gamma=34.23
Last column: nearest neighbours and their distance in Å.
Atoms (fractional coordinates):
Y1 0.0000 0.0000 0.0000  4 Rh 2.87-2.95
Y2 0.0283 0.0283 0.5001  4 Rh 2.87-2.95
Y3 0.2962 0.2962 0.3086  3 Rh 2.81-3.00
Y4 0.7319 0.7319 0.8088  3 Rh 2.81-3.01
Rh1 0.3963 0.3963 0.7175  7 Y 2.81-3.00
Rh2 0.6316 0.6316 0.2183  7 Y 2.81-3.01

[11]
Computed, not measured: a relaxed structure of Mg4HIr5 at the PBE level of DFT.

Values from the calculation:
As for the crystal system: triclinic. The volume comes out at 154.14 Å³/cell. The mass density is 11412 kg/m3. For the offset from the most stable computed form, the calculation gives 0.00 kcal/mol of atoms. Its symmetry is P1.

Unit cell a=4.6513 b=5.2897 c=6.7171 alpha=78.46 beta=72.65 gamma=82.61
Last column: nearest neighbours and their distance in Å.
Atoms (fractional coordinates):
Mg1 0.0000 0.0000 0.0000  7 Ir 2.66-2.96, 1 H 2.88, 1 Mg 2.88
Mg2 0.1357 0.5700 0.6760  1 H 2.34
Mg3 0.3138 0.0467 0.3001  1 H 2.42, 4 Ir 2.62-2.71
Mg4 0.7041 0.2342 0.5132  1 H 2.13
H1 0.4592 0.8966 0.6231  2 Ir 1.75-1.84
Ir1 0.3139 0.5673 0.2495  5 Ir 2.55-2.73, 3 Mg 2.62-2.74
Ir2 0.4974 0.3165 0.9191  5 Mg 2.62-2.89, 5 Ir 2.65-2.82
Ir3 0.5970 0.8282 0.8598  1 H 1.84
Ir4 0.7362 0.7403 0.4388  1 H 1.75
Ir5 0.8953 0.4830 0.1026  6 Ir 2.55-2.82, 4 Mg 2.71-2.75

[12]
Computed, not measured: a relaxed structure of GaPtCl2 at the PBE level of DFT.

Values from the calculation:
As for the crystal system: cubic. The value obtained for the uncorrected formation energy is 0.280 eV per atom. The volume comes out at 79.03 Å³/cell. The mass density is 7054 kg/m3. For the offset from the most stable computed form, the calculation gives 5.54 kcal/mol of atoms. Its symmetry is Fm-3m.

Unit cell a=4.8169 b=4.8169 c=4.8169 alpha=60.00 beta=60.00 gamma=60.00
Last column: nearest neighbours and their distance in Å.
Atoms (fractional coordinates):
Ga1 0.0000 0.0000 0.0000  8 Cl 2.95
Pt1 0.5000 0.5000 0.5000  8 Cl 2.95
Cl1 0.2500 0.2500 0.2500  4 Pt 2.95, 4 Ga 2.95
Cl2 0.7500 0.7500 0.7500  4 Pt 2.95, 4 Ga 2.95

[13]
Computed, not measured: a relaxed structure of TiNbCoTc at the PBE level of DFT.

Values from the calculation:
As for the crystal system: cubic. The volume comes out at 59.45 Å³/cell. The mass density is 8315 kg/m3. For the offset from the most stable computed form, the calculation gives 0.15 kcal/mol of atoms. Its symmetry is F-43m.

Unit cell a=4.3809 b=4.3809 c=4.3809 alpha=60.00 beta=60.00 gamma=60.00
Last column: nearest neighbours and their distance in Å.
Atoms (fractional coordinates):
Ti1 0.0000 0.0000 0.0000  4 Co 2.68, 4 Tc 2.68
Nb1 0.5000 0.5000 0.5000  4 Co 2.68, 4 Tc 2.68
Co1 0.7500 0.7500 0.7500  4 Nb 2.68, 4 Ti 2.68
Tc1 0.2500 0.2500 0.2500  4 Nb 2.68, 4 Ti 2.68

[14]
Computed, not measured: a relaxed structure of LiSiAgPt at the PBE level of DFT.

Values from the calculation:
As for the crystal system: cubic. The value obtained for the uncorrected formation energy is -0.395 eV per atom. The volume comes out at 56.64 Å³/cell. The mass density is 9908 kg/m3. Its symmetry is F-43m.

Unit cell a=4.3108 b=4.3108 c=4.3108 alpha=60.00 beta=60.00 gamma=60.00
Last column: nearest neighbours and their distance in Å.
Atoms (fractional coordinates):
Li1 0.0000 0.0000 0.0000  4 Ag 2.64, 4 Pt 2.64
Si1 0.5000 0.5000 0.5000  4 Ag 2.64, 4 Pt 2.64
Ag1 0.7500 0.7500 0.7500  4 Li 2.64, 4 Si 2.64
Pt1 0.2500 0.2500 0.2500  4 Li 2.64, 4 Si 2.64

[15]
Computed, not measured: a relaxed structure of MnSi2Os2 at the PBE level of DFT.

Values from the calculation:
As for the crystal system: tetragonal. The value obtained for the uncorrected formation energy is -0.112 eV per atom. The volume comes out at 141.26 Å³/cell. The mass density is 11557 kg/m3. For the offset from the most stable computed form, the calculation gives 0.00 kcal/mol of atoms. Its symmetry is P4/mbm.

Unit cell a=7.0084 b=7.0084 c=2.8760 alpha=90.00 beta=90.00 gamma=90.00
Last column: nearest neighbours and their distance in Å.
Atoms (fractional coordinates):
Mn1 0.0000 0.0000 0.0000  4 Os 2.69, 2 Mn 2.88
Mn2 0.5000 0.5000 0.0000  4 Os 2.69, 2 Mn 2.88
Si1 0.1520 0.3480 0.5000  6 Os 2.47-2.53
Si2 0.3480 0.8480 0.5000  6 Os 2.47-2.53
Si3 0.6520 0.1520 0.5000  6 Os 2.47-2.53
Si4 0.8480 0.6520 0.5000  6 Os 2.47-2.53
Os1 0.1455 0.6455 0.0000  6 Si 2.47-2.53, 2 Mn 2.69
Os2 0.3545 0.1455 0.0000  6 Si 2.47-2.53, 2 Mn 2.69
Os3 0.6455 0.8545 0.0000  6 Si 2.47-2.53, 2 Mn 2.69
Os4 0.8545 0.3545 0.0000  6 Si 2.47-2.53, 2 Mn 2.69

[16]
Computed, not measured: a relaxed structure of Na2MnAs2Pd at the PBE level of DFT.

Values from the calculation:
As for the crystal system: orthorhombic. The electronic total energy comes out at -4.79 eV per atom. The volume comes out at 229.41 Å³/cell. The mass density is 5171 kg/m3. Its symmetry is Ibam.

Unit cell a=8.0195 b=8.0195 c=8.0195 alpha=137.68 beta=61.08 gamma=138.09
Last column: nearest neighbours and their distance in Å.
Atoms (fractional coordinates):
Na1 0.1728 0.2208 0.3936  5 As 3.01-3.11, 2 Pd 3.06, 2 Mn 3.22
Na2 0.3272 0.7208 0.0481  5 As 3.01-3.11, 2 Pd 3.06, 2 Mn 3.22
Na3 0.6728 0.2792 0.9519  5 As 3.01-3.11, 2 Pd 3.06, 2 Mn 3.22
Na4 0.8272 0.7792 0.6064  5 As 3.01-3.11, 2 Pd 3.06, 2 Mn 3.22
Mn1 0.2500 0.7500 0.5000  4 As 2.36
Mn2 0.7500 0.2500 0.5000  4 As 2.36
As1 0.1023 0.7126 0.8149  2 Mn 2.36, 2 Pd 2.61
As2 0.3977 0.2126 0.6103  2 Mn 2.36, 2 Pd 2.61
As3 0.6023 0.7874 0.3897  2 Mn 2.36, 2 Pd 2.61
As4 0.8977 0.2874 0.1851  2 Mn 2.36, 2 Pd 2.61
Pd1 0.2500 0.2500 0.0000  4 As 2.61, 2 Pd 2.87, 2 Mn 2.89
Pd2 0.7500 0.7500 0.0000  4 As 2.61, 2 Pd 2.87, 2 Mn 2.89